# 1
PBE Tm6AlSi2, relaxed; E_form (uncorrected) = -0.51 eV/atom; size of the total moment = 0.00 μB/cell
1.0
7.7826 -0.0174 -2.9336
-4.0845 6.8723 -2.2939
-0.1751 0.0174 8.3153
Tm Si Al
12 4 2
Direct
0.7051 0.0269 0.3218 Tm
0.1987 0.2456 0.4443 Tm
0.0904 0.2729 0.8175 Tm
0.7051 0.3833 0.6782 Tm
0.1987 0.7544 0.9531 Tm
0.5447 0.7271 0.8175 Tm
0.2949 0.6167 0.3218 Tm
0.2949 0.9731 0.6782 Tm
0.9096 0.7271 0.1825 Tm
0.8013 0.2456 0.0469 Tm
0.4553 0.2729 0.1825 Tm
0.8013 0.7544 0.5557 Tm
0.3595 0.0000 0.3595 Si
0.6405 0.0000 0.6405 Si
0.5000 0.3822 0.8822 Si
0.5000 0.6178 0.1178 Si
0.0000 0.5000 0.5000 Al
0.0000 0.0000 0.0000 Al



# 2
PBE KUAsS5, relaxed; E_form (uncorrected) = -0.78 eV/atom; size of the total moment = 0.26 μB/cell
1.0
-0.3637 7.1832 1.3167
-5.7189 -2.8482 3.5563
7.9410 -3.1574 4.8456
K S U As
2 10 2 2
Direct
0.3380 0.6620 0.2500 K
0.6620 0.3380 0.7500 K
0.7638 0.6287 0.4242 S
0.6896 0.0989 0.4053 S
0.9365 0.0635 0.7500 S
0.6287 0.7638 0.9242 S
0.0635 0.9365 0.2500 S
0.3104 0.9011 0.5947 S
0.3713 0.2362 0.0758 S
0.9011 0.3104 0.0947 S
0.2362 0.3713 0.5758 S
0.0989 0.6896 0.9053 S
0.0000 0.0000 0.0000 U
0.0000 0.0000 0.5000 U
0.3060 0.6940 0.7500 As
0.6940 0.3060 0.2500 As



# 3
PBE RbCrSi2Pb, relaxed; E_form (uncorrected) = 1.44 eV/atom; size of the total moment = 4.84 μB/cell
1.0
5.4123 0.0000 0.0000
0.0000 6.4963 0.0000
0.0000 0.0000 5.4123
Pb Si Rb Cr
1 2 1 1
Direct
0.0000 0.0000 0.0000 Pb
0.5000 0.0000 0.0000 Si
0.0000 0.0000 0.5000 Si
0.0000 0.5000 0.0000 Rb
0.5000 0.5000 0.5000 Cr



# 4
PBE TbReP2, relaxed; ΔE to the lowest computed polymorph = 0 meV per atom; size of the total moment = 0.00 μB/cell
1.0
4.1041 0.0000 0.0000
2.0521 3.5543 0.0000
2.0521 1.1848 4.7223
Re P Tb
1 2 1
Direct
0.0000 0.0000 0.0000 Re
0.2841 0.2841 0.1476 P
0.7159 0.7159 0.8524 P
0.5000 0.5000 0.5000 Tb



# 5
PBE Ce2ThTe, relaxed; ΔE to the lowest computed polymorph = 265 meV per atom; E_form (uncorrected) = -0.24 eV/atom; size of the total moment = 0.00 μB/cell
1.0
-2.1692 1.4107 4.7861
-4.1876 -2.8215 2.0262
0.7165 -3.1818 4.3551
Ce Te Th
2 1 1
Direct
0.2499 0.2499 0.2503 Ce
0.7501 0.7501 0.7497 Ce
0.0000 0.0000 0.0000 Te
0.5000 0.5000 0.5000 Th



# 6
PBE MnAlTl3, relaxed; ΔE to the lowest computed polymorph = 0 meV per atom; size of the total moment = 2.07 μB/cell
1.0
5.2037 0.0000 0.0000
0.0000 5.2037 0.0000
0.0000 0.0000 5.2037
Mn Tl Al
1 3 1
Direct
0.0000 0.0000 0.0000 Mn
0.5000 0.0000 0.0000 Tl
0.0000 0.5000 0.0000 Tl
0.0000 0.0000 0.5000 Tl
0.5000 0.5000 0.5000 Al



size of the total moment of number 4 (TbReP2)? 0.00 μB/cell